(1)
# LiIn2Os PBE-GGA optimized geometry
data_LiIn2Os
_chemical_formula_sum 'Li1 In2 Os1'
_space_group_name_H-M_alt 'P 4 m m'
_space_group_IT_number 99
_cell_length_a 2.959
_cell_length_b 2.959
_cell_length_c 8.678
_cell_angle_alpha 90.00
_cell_angle_beta 90.00
_cell_angle_gamma 90.00
loop_
_space_group_symop_operation_xyz
'x,y,z'
'-y,x,z'
'-x,-y,z'
'y,-x,z'
'-x,y,z'
'y,x,z'
'x,-y,z'
'-y,-x,z'
loop_
_atom_site_label
_atom_site_type_symbol
_atom_site_fract_x
_atom_site_fract_y
_atom_site_fract_z
Li1 Li 0.000 0.000 0.000
In1 In 0.000 0.000 0.419
In2 In 0.500 0.500 0.747
Os1 Os 0.500 0.500 0.197
# DOS at the Fermi energy   3.556 states/eV per cell
# Calculated total energy   -16.989 eV/cell
# E_form   1.63 eV/f.u.



(2)
# SiPb3O PBE-GGA optimized geometry
data_SiPb3O
_chemical_formula_sum 'Si1 Pb3 O1'
_space_group_name_H-M_alt 'P m -3 m'
_space_group_IT_number 221
_space_group_name_Hall '-P 4 2 3'
_cell_length_a 5.005
_cell_length_b 5.005
_cell_length_c 5.005
_cell_angle_alpha 90.00
_cell_angle_beta 90.00
_cell_angle_gamma 90.00
loop_
_atom_site_label
_atom_site_type_symbol
_atom_site_fract_x
_atom_site_fract_y
_atom_site_fract_z
Si1 Si 0.000 0.000 0.000
Pb1 Pb 0.000 0.500 0.500
O1 O 0.500 0.500 0.500
# DOS at the Fermi energy   0.634 states/eV per cell
# ΔE_f (raw)   -22 meV per atom
# Calculated total energy   -21.619 eV/cell
# Distance to the lowest polymorph of the same formula   0.000 eV per atom



Question: calculated total energy of number 1 (LiIn2Os)?
Answer: -16.989 eV/cell